## ScIrRu2 (PBE)

Data for ScIrRu2 after structural relaxation.

Unit cell a=4.4641 b=4.4641 c=4.4641 alpha=60.00 beta=60.00 gamma=60.00
Last column: nearest neighbours and their distance in Å.
Positions (direct):
Ir (0.5000, 0.5000, 0.5000)  4 Sc 2.73, 4 Ru 2.73
Ru (0.0000, 0.0000, 0.0000)  4 Ru 2.73, 4 Sc 2.73
Ru (0.2500, 0.2500, 0.2500)  4 Ir 2.73, 4 Ru 2.73
Sc (0.7500, 0.7500, 0.7500)  4 Ru 2.73, 4 Ir 2.73

Calculated values
E_form in kJ/mol of atoms: -5.08
Space-group type: F-43m